Record 1
## AuSeCl2 (GGA-PBE)

Data for crystalline AuSeCl2 at its relaxed geometry.

```
AuSeCl2
1.0
2.8817 0.0000 0.0000
0.0000 2.8817 0.0000
0.0000 0.0000 12.2228
Au Se Cl
1 1 2
Direct
0.0000 0.0000 0.0000 Au
0.0000 0.0000 0.5000 Se
0.5000 0.5000 0.1720 Cl
0.5000 0.5000 0.8280 Cl
```

Output
Calculated volume, A^3/atom: 25.37
Formation energy from raw total energies, kJ/mol of formula units: 173
Energy relative to the lowest polymorph listed for this composition, meV/atom: 597
Size of the total moment, μB per formula unit: 0.0

Record 2
## AuSe2Cl (GGA-PBE)

Data for crystalline AuSe2Cl at its relaxed geometry.

```
AuSe2Cl
1.0
4.2012 -1.8183 0.0000
4.2012 1.8183 0.0000
-1.7723 0.0000 7.6745
Au Se Cl
1 2 1
Direct
0.0000 0.0000 0.0000 Au
0.5106 0.5106 0.4269 Se
0.6421 0.6421 0.2076 Se
0.3625 0.3625 0.8021 Cl
```

Output
Calculated volume, A^3/atom: 29.31
Formation energy from raw total energies, kJ/mol of formula units: -21
Size of the total moment, μB per formula unit: 0.0

Record 3
## AuSeCl2 (GGA-PBE)

Data for crystalline AuSeCl2 at its relaxed geometry.

```
AuSeCl2
1.0
0.0000 3.4094 3.4094
3.4094 0.0000 3.4094
3.4094 3.4094 0.0000
Au Se Cl
1 1 2
Direct
0.0000 0.0000 0.0000 Au
0.7500 0.7500 0.7500 Se
0.2500 0.2500 0.2500 Cl
0.5000 0.5000 0.5000 Cl
```

Output
Calculated volume, A^3/atom: 19.82
Formation energy from raw total energies, kJ/mol of formula units: 205
Energy relative to the lowest polymorph listed for this composition, meV/atom: 680
Size of the total moment, μB per formula unit: 0.0

Record 4
## AuSeCl2 (GGA-PBE)

Data for crystalline AuSeCl2 at its relaxed geometry.

```
AuSeCl2
1.0
4.1402 -1.8910 0.0000
4.1402 1.8910 0.0000
-0.6323 0.0000 7.7396
Au Se Cl
1 1 2
Direct
0.0000 0.0000 0.0000 Au
0.3576 0.3576 0.8255 Se
0.4545 0.4545 0.5715 Cl
0.6280 0.6280 0.1810 Cl
```

Output
Calculated volume, A^3/atom: 30.30
Formation energy from raw total energies, kJ/mol of formula units: -57
Energy relative to the lowest polymorph listed for this composition, meV/atom: 0
Size of the total moment, μB per formula unit: 0.0

Summary of total energy in eV per atom
-2.1646; -3.0787; -2.0815; -2.7616
(order as listed above)
Summary of DOS at the Fermi energy in states/eV/atom
1.04; 0.14; 1.01; 0.91
(order as listed above)